1.
CsTl3Se2: relaxed, PBE-GGA.

Results
M_tot = 0.00 Bohr magnetons per cell
Formation energy from raw total energies = -0.579 eV/atom
Total energy = -3.066 eV/atom
SG = C2/m, No. 12

Cell: 10.0275 10.0275 10.7148 Å, 103.63 103.63 25.67°
Last column: nearest neighbours and their distance in Å.
Fractional coordinates of all 12 atoms:
Cs 0.0959 0.0959 0.1389  6 Se 3.79-3.96, 2 Tl 3.86-4.22, 1 Cs 4.19
Cs 0.9041 0.9041 0.8611  6 Se 3.79-3.96, 2 Tl 3.86-4.22, 1 Cs 4.19
Tl 0.0635 0.0635 0.6562  2 Se 3.01
Tl 0.2900 0.2900 0.1176  3 Se 2.90-3.17
Tl 0.3332 0.3332 0.4919  3 Se 3.09-3.12
Tl 0.6668 0.6668 0.5081  3 Se 3.09-3.12
Tl 0.7100 0.7100 0.8824  3 Se 2.90-3.17
Tl 0.9365 0.9365 0.3438  2 Se 3.01
Se 0.2404 0.2404 0.6918  6 Tl 3.09-3.39
Se 0.4420 0.4420 0.1569  3 Tl 2.90-3.01
Se 0.5580 0.5580 0.8431  3 Tl 2.90-3.01
Se 0.7596 0.7596 0.3082  6 Tl 3.09-3.39

2.
V2BiRu2: relaxed, PBE-GGA.

Results
M_tot = 0.00 Bohr magnetons per cell
Formation energy from the elements = 0.11 eV per atom
Total energy = -8.028 eV/atom
SG = P4/mbm, No. 127

Cell: 7.4932 7.4932 2.9290 Å, 90.00 90.00 90.00°
Last column: nearest neighbours and their distance in Å.
Fractional coordinates of all 10 atoms:
V 0.1477 0.3523 0.0000  6 Ru 2.57-2.73
V 0.3523 0.8523 0.0000  6 Ru 2.57-2.73
V 0.6477 0.1477 0.0000  6 Ru 2.57-2.73
V 0.8523 0.6477 0.0000  6 Ru 2.57-2.73
Bi 0.0000 0.0000 0.5000  4 Ru 2.92, 2 Bi 2.93, 8 V 3.22
Bi 0.5000 0.5000 0.5000  4 Ru 2.92, 2 Bi 2.93, 8 V 3.22
Ru 0.1345 0.6345 0.5000  6 V 2.57-2.73, 1 Ru 2.85
Ru 0.3655 0.1345 0.5000  6 V 2.57-2.73, 1 Ru 2.85
Ru 0.6345 0.8655 0.5000  6 V 2.57-2.73, 1 Ru 2.85
Ru 0.8655 0.3655 0.5000  6 V 2.57-2.73, 1 Ru 2.85

Q: Which formula does entry 1 have?
A: CsTl3Se2